# 1
This record from the Alexandria database describes a relaxed structure of KNbFe2. The functional is PBE.

## Properties
Total magnetization in μB per formula unit: 0.0
Energy in eV/atom: -5.581
Formation enthalpy at 0 K in eV/atom: 1.4425
Excess energy over the best structure of this formula in the dataset in kJ/mol of atoms: 12.25
DOS(E_F) in states/eV/cell: 5.8

Structure (extended XYZ):
```
4
Lattice="0.000 3.190 3.190 3.190 0.000 3.190 3.190 3.190 0.000" Properties=species:S:1:pos:R:3 pbc="T T T"
K 0.000 0.000 0.000
Fe 1.595 1.595 1.595
Fe 4.785 4.785 4.785
Nb 3.190 3.190 3.190
```



# 2
This record from the Alexandria database describes a relaxed structure of K3NbFe. The functional is PBE.

## Properties
Total magnetization in μB per formula unit: 8.6
Energy in eV/atom: -2.546
Formation enthalpy at 0 K in eV/atom: 1.8185
DOS(E_F) in states/eV/cell: 15.9

Structure (extended XYZ):
```
5
Lattice="6.703 0.000 0.000 0.000 6.703 0.000 0.000 0.000 6.703" Properties=species:S:1:pos:R:3 pbc="T T T"
K 0.000 3.352 0.000
Nb 0.000 0.000 0.000
Fe 3.352 3.352 3.352
K 0.000 0.000 3.352
K 3.352 0.000 0.000
```